Compound: Li2Si3O7
Source: Alexandria
Functional: meta-GGA SCAN
Structure: single point on PBEsol structure

Results
Magnetization (μB per cell): 0.00
Total energy (eV per atom): -9.444

abc: 4.883 5.999 19.731
angles: 90.00 90.00 90.00
Positions (direct):
O1 0.381 0.911 0.410
Si1 0.553 0.147 0.396
Si2 0.053 0.853 0.104
O2 0.487 0.800 0.684
O3 0.987 0.200 0.684
Si3 0.419 0.651 0.750
O4 0.548 0.659 0.555
Li1 0.558 0.645 0.456
Li2 0.942 0.645 0.544
Li3 0.058 0.355 0.456
O5 0.881 0.089 0.090
Li4 0.442 0.355 0.544
O6 0.048 0.341 0.945
O7 0.952 0.659 0.055
O8 0.452 0.341 0.445
O9 0.548 0.659 0.945
O10 0.381 0.911 0.090
O11 0.881 0.089 0.410
Li5 0.442 0.355 0.956
Li6 0.942 0.645 0.956
O12 0.952 0.659 0.445
O13 0.119 0.911 0.910
Li7 0.558 0.645 0.044
Si4 0.447 0.853 0.896
O14 0.487 0.800 0.816
Si5 0.919 0.349 0.750
Si6 0.581 0.349 0.250
O15 0.048 0.341 0.555
O16 0.513 0.200 0.316
Si7 0.553 0.147 0.104
O17 0.013 0.800 0.316
O18 0.401 0.577 0.250
Si8 0.081 0.651 0.250
O19 0.513 0.200 0.184
O20 0.901 0.423 0.250
Li8 0.058 0.355 0.044
Si9 0.947 0.147 0.604
O21 0.013 0.800 0.184
Si10 0.447 0.853 0.604
O22 0.619 0.089 0.590
O23 0.119 0.911 0.590
Si11 0.053 0.853 0.396
Si12 0.947 0.147 0.896
O24 0.099 0.577 0.750
O25 0.987 0.200 0.816
O26 0.619 0.089 0.910
O27 0.452 0.341 0.055
O28 0.599 0.423 0.750



Compound: LiSi3O
Source: Alexandria
Functional: meta-GGA SCAN
Structure: single point on PBEsol structure

Results
Magnetization (μB per cell): 0.00
Total energy (eV per atom): -6.539

abc: 4.189 4.189 4.189
angles: 90.00 90.00 90.00
Positions (direct):
Si1 0.000 0.500 0.000
Si2 0.500 0.000 0.000
Li1 0.000 0.000 0.000
Si3 0.000 0.000 0.500
O1 0.500 0.500 0.500



Compound: SrLiSiO2
Source: Alexandria
Functional: meta-GGA SCAN
Structure: single point on PBEsol structure

Results
Magnetization (μB per cell): 0.00
Total energy (eV per atom): -9.664

abc: 4.031 4.031 4.096
angles: 90.00 90.00 90.00
Positions (direct):
O1 0.000 0.500 0.000
Li1 0.000 0.000 0.000
Si1 0.500 0.500 0.500
O2 0.500 0.000 0.000
Sr1 0.000 0.000 0.500



Compound: Li3TiSi6O15
Source: Alexandria
Functional: meta-GGA SCAN
Structure: single point on PBEsol structure

Results
Magnetization (μB per cell): 4.00
Total energy (eV per atom): -9.996

abc: 10.141 10.962 10.962
angles: 100.34 90.00 90.00
Each line ends with the local moment (μB).
Positions (direct):
Si1 0.458 0.801 0.418  0.00
Si2 0.193 0.809 0.959  0.00
Si3 0.693 0.691 0.541  0.00
O1 0.491 0.910 0.090  0.00
Li1 0.826 0.944 0.056  0.00
O2 0.082 0.010 0.288  0.00
Si4 0.485 0.985 0.233  0.00
Li2 0.750 0.481 0.019  0.00
O3 0.582 0.490 0.212  0.00
O4 0.833 0.464 0.236  0.00
Li3 0.674 0.444 0.556  0.00
O5 0.009 0.410 0.590  0.00
Li4 0.000 0.763 0.763  0.00
O6 0.167 0.536 0.764  0.00
Si5 0.958 0.918 0.301  0.00
O7 0.918 0.288 0.010  0.00
Si6 0.542 0.418 0.801  0.00
O8 0.308 0.435 0.565  0.00
O9 0.415 0.901 0.746  -0.01
Li5 0.000 0.237 0.237  0.00
O10 0.991 0.590 0.410  0.00
Si7 0.042 0.301 0.918  0.00
Si8 0.458 0.582 0.199  0.00
O11 0.840 0.141 0.167  0.00
O12 0.329 0.511 0.139  0.00
O13 0.833 0.764 0.536  0.00
Si9 0.015 0.485 0.733  0.00
O14 0.829 0.989 0.361  0.00
Li6 0.250 0.019 0.481  0.00
Li7 0.174 0.056 0.944  0.00
O15 0.667 0.264 0.036  0.00
O16 0.171 0.361 0.989  0.00
Si10 0.015 0.267 0.515  0.00
O17 0.340 0.667 0.641  0.00
Si11 0.985 0.733 0.485  0.00
O18 0.167 0.236 0.464  0.00
O19 0.667 0.964 0.736  0.00
O20 0.015 0.613 0.176  0.00
O21 0.985 0.176 0.613  0.00
O22 0.418 0.510 0.788  0.00
O23 0.692 0.565 0.435  0.00
O24 0.160 0.859 0.833  0.00
O25 0.915 0.599 0.754  -0.01
O26 0.082 0.712 0.990  0.00
O27 0.660 0.333 0.359  0.00
Si12 0.958 0.699 0.082  0.00
Ti1 0.250 0.844 0.656  0.92
O28 0.192 0.935 0.065  0.00
O29 0.515 0.887 0.324  0.00
O30 0.585 0.099 0.254  -0.01
O31 0.333 0.036 0.264  0.00
Li8 0.500 0.737 0.737  0.00
O32 0.160 0.167 0.141  0.00
Si13 0.807 0.959 0.809  0.00
O33 0.918 0.990 0.712  0.00
O34 0.085 0.401 0.246  -0.01
O35 0.576 0.341 0.659  0.00
Ti2 0.250 0.344 0.156  0.92
Si14 0.985 0.515 0.267  0.00
Si15 0.193 0.041 0.191  0.00
O36 0.840 0.833 0.859  0.00
O37 0.340 0.359 0.333  0.00
O38 0.333 0.736 0.964  0.00
O39 0.015 0.824 0.387  0.00
O40 0.660 0.641 0.667  0.00
O41 0.915 0.246 0.401  -0.01
Li9 0.326 0.556 0.444  0.00
Si16 0.807 0.191 0.041  0.00
Si17 0.307 0.541 0.691  0.00
O42 0.485 0.324 0.887  0.00
Li10 0.500 0.263 0.263  0.00
Si18 0.485 0.767 0.015  0.00
Si19 0.307 0.309 0.459  0.00
O43 0.829 0.639 0.011  0.00
Si20 0.042 0.082 0.699  0.00
O44 0.582 0.788 0.510  0.00
O45 0.171 0.011 0.639  0.00
O46 0.671 0.139 0.511  0.00
Li11 0.750 0.981 0.519  0.00
O47 0.924 0.841 0.159  0.00
O48 0.985 0.387 0.824  0.00
O49 0.415 0.254 0.099  -0.01
O50 0.424 0.659 0.341  0.00
O51 0.515 0.676 0.113  0.00
O52 0.085 0.754 0.599  -0.01
O53 0.329 0.861 0.489  0.00
O54 0.076 0.159 0.841  0.00
O55 0.671 0.489 0.861  0.00
Li12 0.250 0.519 0.981  0.00
Si21 0.542 0.199 0.582  0.00
Si22 0.515 0.233 0.985  0.00
Si23 0.515 0.015 0.767  0.00
Si24 0.693 0.459 0.309  0.00
O56 0.509 0.090 0.910  0.00
O57 0.808 0.065 0.935  0.00
Ti3 0.750 0.656 0.844  0.92
O58 0.585 0.746 0.901  -0.01
O59 0.485 0.113 0.676  0.00
Ti4 0.750 0.156 0.344  0.92
O60 0.418 0.212 0.490  0.00



Compound: LiTiSi4O10
Source: Alexandria
Functional: meta-GGA SCAN
Structure: single point on PBEsol structure

Results
Magnetization (μB per cell): 2.00
Total energy (eV per atom): -10.519

abc: 4.812 7.172 11.020
angles: 90.00 90.00 90.00
Each line ends with the local moment (μB).
Positions (direct):
O1 0.282 0.793 0.635  0.00
O2 0.217 0.298 0.544  0.00
Li1 0.500 0.000 0.774  0.00
O3 0.500 0.500 0.962  0.00
O4 0.000 0.500 0.720  0.00
O5 0.000 0.000 0.220  0.00
Si1 0.029 0.213 0.172  0.00
O6 0.718 0.207 0.635  0.00
O7 0.825 0.657 0.271  0.01
O8 0.718 0.293 0.135  0.00
Si2 0.531 0.287 0.010  0.00
Si3 0.971 0.787 0.172  0.00
O9 0.680 0.155 0.913  -0.01
O10 0.500 0.000 0.462  0.00
Si4 0.531 0.213 0.510  0.00
O11 0.825 0.843 0.771  0.01
O12 0.282 0.707 0.135  0.00
O13 0.217 0.202 0.044  0.00
Ti1 0.000 0.000 0.898  0.90
Si5 0.029 0.287 0.672  0.00
Si6 0.971 0.713 0.672  0.00
O14 0.320 0.845 0.913  -0.01
O15 0.175 0.157 0.771  0.01
Li2 0.500 0.500 0.274  0.00
O16 0.320 0.655 0.413  -0.01
O17 0.783 0.702 0.544  0.00
O18 0.680 0.345 0.413  -0.01
Si7 0.469 0.713 0.010  0.00
O19 0.783 0.798 0.044  0.00
Si8 0.469 0.787 0.510  0.00
O20 0.175 0.343 0.271  0.01
Ti2 0.000 0.500 0.398  0.90



Compound: Li3TiSi6O15
Source: Alexandria
Functional: meta-GGA SCAN
Structure: single point on PBEsol structure

Results
Magnetization (μB per cell): 4.00
Total energy (eV per atom): -9.995

abc: 7.922 9.849 14.843
angles: 90.00 90.00 90.00
Each line ends with the local moment (μB).
Positions (direct):
O1 0.058 0.649 0.322  -0.01
Si1 0.939 0.710 0.603  0.00
O2 0.427 0.846 0.174  0.00
Li1 0.750 0.423 0.405  0.00
O3 0.750 0.081 0.681  0.00
Si2 0.439 0.290 0.397  0.00
O4 0.914 0.633 0.894  0.00
Li2 0.250 0.577 0.595  0.00
O5 0.427 0.654 0.674  0.00
O6 0.250 0.370 0.603  0.00
Si3 0.750 0.531 0.901  0.00
Si4 0.750 0.523 0.099  0.00
O7 0.250 0.144 0.885  0.00
Li3 0.495 0.495 0.242  0.00
Li4 0.005 0.005 0.742  0.00
Li5 0.750 0.077 0.905  0.00
O8 0.584 0.624 0.109  0.00
O9 0.084 0.376 0.891  0.00
O10 0.750 0.870 0.897  0.00
O11 0.986 0.332 0.497  0.00
O12 0.916 0.624 0.109  0.00
O13 0.250 0.935 0.685  0.00
O14 0.250 0.956 0.501  0.00
O15 0.416 0.376 0.891  0.00
Ti1 0.750 0.260 0.745  0.91
Si5 0.250 0.031 0.599  0.00
O16 0.927 0.154 0.826  0.00
O17 0.014 0.832 0.003  0.00
Si6 0.559 0.798 0.901  0.00
O18 0.086 0.367 0.106  0.00
Si7 0.750 0.969 0.401  0.00
O19 0.416 0.124 0.391  0.00
Li6 0.505 0.995 0.258  0.00
O20 0.750 0.419 0.181  0.00
O21 0.442 0.649 0.322  -0.01
Si8 0.061 0.290 0.397  0.00
O22 0.073 0.846 0.174  0.00
O23 0.514 0.332 0.497  0.00
Li7 0.995 0.995 0.258  0.00
O24 0.586 0.633 0.894  0.00
O25 0.942 0.351 0.678  -0.01
Si9 0.439 0.210 0.897  0.00
O26 0.442 0.851 0.822  -0.01
Si10 0.250 0.023 0.401  0.00
O27 0.558 0.149 0.178  -0.01
O28 0.750 0.044 0.499  0.00
Si11 0.941 0.798 0.901  0.00
O29 0.250 0.356 0.385  0.00
Li8 0.995 0.505 0.758  0.00
O30 0.573 0.346 0.326  0.00
Si12 0.441 0.202 0.099  0.00
Si13 0.059 0.202 0.099  0.00
O31 0.750 0.065 0.315  0.00
Ti2 0.750 0.240 0.245  0.91
O32 0.084 0.124 0.391  0.00
O33 0.927 0.346 0.326  0.00
O34 0.250 0.565 0.185  0.00
O35 0.750 0.644 0.615  0.00
Si14 0.561 0.710 0.603  0.00
Ti3 0.250 0.760 0.755  0.91
Si15 0.750 0.977 0.599  0.00
Li9 0.505 0.505 0.758  0.00
O36 0.914 0.867 0.394  0.00
Li10 0.005 0.495 0.242  0.00
O37 0.750 0.435 0.815  0.00
O38 0.486 0.832 0.003  0.00
Si16 0.250 0.469 0.099  0.00
Si17 0.250 0.477 0.901  0.00
O39 0.586 0.867 0.394  0.00
O40 0.558 0.351 0.678  -0.01
O41 0.750 0.456 0.999  0.00
O42 0.414 0.133 0.606  0.00
O43 0.916 0.876 0.609  0.00
O44 0.058 0.851 0.822  -0.01
Si18 0.061 0.210 0.897  0.00
Si19 0.561 0.790 0.103  0.00
O45 0.573 0.154 0.826  0.00
Si20 0.939 0.790 0.103  0.00
O46 0.086 0.133 0.606  0.00
O47 0.414 0.367 0.106  0.00
O48 0.986 0.168 0.997  0.00
Si21 0.059 0.298 0.599  0.00
Si22 0.559 0.702 0.401  0.00
Si23 0.941 0.702 0.401  0.00
Li11 0.250 0.923 0.095  0.00
Ti4 0.250 0.740 0.255  0.91
O49 0.250 0.581 0.819  0.00
O50 0.750 0.630 0.397  0.00
O51 0.942 0.149 0.178  -0.01
Li12 0.495 0.005 0.742  0.00
O52 0.250 0.130 0.103  0.00
O53 0.014 0.668 0.503  0.00
O54 0.750 0.856 0.115  0.00
O55 0.584 0.876 0.609  0.00
O56 0.073 0.654 0.674  0.00
O57 0.250 0.544 0.001  0.00
O58 0.250 0.919 0.319  0.00
O59 0.514 0.168 0.997  0.00
Si24 0.441 0.298 0.599  0.00
O60 0.486 0.668 0.503  0.00



Compound: LiTiSi4O10
Source: Alexandria
Functional: meta-GGA SCAN
Structure: single point on PBEsol structure

Results
Magnetization (μB per cell): 2.00
Total energy (eV per atom): -10.504

abc: 5.309 7.964 11.336
angles: 110.27 90.00 90.00
Each line ends with the local moment (μB).
Positions (direct):
O1 0.994 0.931 0.777  0.00
O2 0.006 0.069 0.223  0.00
Si1 0.523 0.300 0.003  0.00
Ti1 0.253 0.250 0.250  0.86
Ti2 0.747 0.750 0.750  0.86
Si2 0.477 0.800 0.503  0.00
O3 0.006 0.431 0.277  0.00
O4 0.298 0.177 0.919  0.00
O5 0.985 0.750 0.250  0.00
Li1 0.247 0.750 0.750  0.00
O6 0.298 0.323 0.581  0.00
Si3 0.477 0.700 0.997  0.00
O7 0.015 0.250 0.750  0.00
O8 0.500 0.000 0.500  0.00
O9 0.798 0.283 0.550  0.00
O10 0.500 0.198 0.354  0.00
O11 0.798 0.217 0.950  0.00
O12 0.500 0.802 0.646  0.00
O13 0.500 0.698 0.854  0.00
O14 0.500 0.302 0.146  0.00
Si4 0.523 0.200 0.497  0.00
O15 0.702 0.823 0.081  0.00
Li2 0.753 0.250 0.250  0.00
Si5 0.975 0.645 0.349  0.00
O16 0.702 0.677 0.419  0.00
O17 0.202 0.717 0.450  0.00
Si6 0.025 0.355 0.651  0.00
O18 0.994 0.569 0.723  0.00
O19 0.202 0.783 0.050  0.00
O20 0.500 0.500 0.000  0.00
Si7 0.975 0.855 0.151  0.00
Si8 0.025 0.145 0.849  0.00



Compound: Li3TiSiO5
Source: Alexandria
Functional: meta-GGA SCAN
Structure: single point on PBEsol structure

Results
Magnetization (μB per cell): 4.00
Total energy (eV per atom): -9.154

abc: 5.013 5.337 15.530
angles: 90.00 90.00 90.00
Each line ends with the local moment (μB).
Positions (direct):
Li1 0.492 0.837 0.690  0.00
O1 0.613 0.180 0.518  0.00
Li2 0.501 0.327 0.411  0.00
O2 0.611 0.626 0.601  0.01
O3 0.111 0.874 0.101  0.01
Li3 0.501 0.827 0.089  0.00
Li4 0.504 0.336 0.998  0.00
O4 0.110 0.860 0.694  -0.01
Li5 0.992 0.163 0.310  0.00
O5 0.113 0.820 0.482  0.00
O6 0.113 0.320 0.018  0.00
Ti1 0.983 0.205 0.708  0.82
Li6 0.001 0.173 0.911  0.00
Si1 0.003 0.160 0.099  0.00
Ti2 0.483 0.795 0.292  0.82
Li7 0.504 0.836 0.502  0.00
O7 0.672 0.673 0.394  0.02
Li8 0.001 0.673 0.589  0.00
Si2 0.503 0.340 0.599  0.00
O8 0.110 0.360 0.806  -0.01
O9 0.105 0.802 0.308  0.00
Li9 0.492 0.337 0.810  0.00
Ti3 0.983 0.705 0.792  0.82
Li10 0.004 0.164 0.498  0.00
Li11 0.992 0.663 0.190  0.00
O10 0.105 0.302 0.192  0.00
Li12 0.004 0.664 0.002  0.00
O11 0.172 0.827 0.894  0.02
O12 0.111 0.374 0.399  0.01
O13 0.613 0.680 0.982  0.00
O14 0.611 0.126 0.899  0.01
O15 0.605 0.198 0.692  0.00
O16 0.610 0.140 0.306  -0.01
O17 0.610 0.640 0.194  -0.01
Si3 0.003 0.660 0.401  0.00
O18 0.172 0.327 0.606  0.02
O19 0.672 0.173 0.106  0.02
O20 0.605 0.698 0.808  0.00
Ti4 0.483 0.295 0.208  0.82
Si4 0.503 0.840 0.901  0.00



In meV/atom, the E_form (uncorrected) values for the records above are, in order, -2907, 1194, -235, -2926, -2969, -2924, -2954, -2717.